(1)
Density functional theory data (PBE) for a geometry-optimized LiErPb3 structure.

Structure (CIF):
```
data_LiErPb3
_chemical_formula_sum 'Li4 Er4 Pb12'
_space_group_name_H-M_alt 'C m c m'
_space_group_IT_number 63
_space_group_name_Hall '-C 2c 2'
_cell_length_a 6.610
_cell_length_b 13.303
_cell_length_c 6.111
_cell_angle_alpha 90.00
_cell_angle_beta 90.00
_cell_angle_gamma 90.00
loop_
_atom_site_label
_atom_site_fract_x
_atom_site_fract_y
_atom_site_fract_z
Li1 0.000 0.000 0.000
Er1 0.000 0.383 0.250
Pb1 0.000 0.178 0.750
Pb2 0.238 0.381 0.750
```

Output
- magnetic moment (μB/f.u.) = 0.00
- calculated total energy (eV/cell) = -73.4
- energy relative to the elements (eV/atom) = -0.148



(2)
Density functional theory data (PBE) for a geometry-optimized NiAs2Br structure.

Structure (CIF):
```
data_NiAs2Br
_chemical_formula_sum 'Ni2 As4 Br2'
_space_group_name_H-M_alt 'C 1 m 1'
_space_group_IT_number 8
_cell_length_a 8.161
_cell_length_b 3.428
_cell_length_c 7.054
_cell_angle_alpha 90.00
_cell_angle_beta 115.05
_cell_angle_gamma 90.00
loop_
_space_group_symop_operation_xyz
'x,y,z'
'x,-y,z'
'x+1/2,y+1/2,z'
'x+1/2,-y+1/2,z'
loop_
_atom_site_label
_atom_site_fract_x
_atom_site_fract_y
_atom_site_fract_z
Ni1 0.000 0.000 0.000
As1 0.269 0.000 0.950
As2 0.399 0.000 0.709
Br1 0.139 0.500 0.315
```

Output
- magnetic moment (μB/f.u.) = 0.00
- formation energy from raw total energies (eV/atom) = 0.00
- polymorph energy (0 for the lowest one) (kJ/mol of atoms) = 17.0
- calculated total energy (eV/cell) = -33.5



(3)
Density functional theory data (PBE) for a geometry-optimized MnCuSi structure.

Structure (CIF):
```
data_MnCuSi
_chemical_formula_sum 'Mn2 Cu2 Si2'
_space_group_name_H-M_alt 'P 4/n m m'
_space_group_IT_number 129
_cell_length_a 3.437
_cell_length_b 3.437
_cell_length_c 6.259
_cell_angle_alpha 90.00
_cell_angle_beta 90.00
_cell_angle_gamma 90.00
loop_
_space_group_symop_operation_xyz
'x,y,z'
'-x,-y,-z'
'-y+1/2,x,z'
'y+1/2,-x,-z'
'-x+1/2,-y+1/2,z'
'x+1/2,y+1/2,-z'
'y,-x+1/2,z'
'-y,x+1/2,-z'
'x+1/2,-y,-z'
'-x+1/2,y,z'
'-y,-x,-z'
'y,x,z'
'-x,y+1/2,-z'
'x,-y+1/2,z'
'y+1/2,x+1/2,-z'
'-y+1/2,-x+1/2,z'
loop_
_atom_site_label
_atom_site_fract_x
_atom_site_fract_y
_atom_site_fract_z
Mn1 0.250 0.250 0.141
Cu1 0.250 0.750 0.500
Si1 0.250 0.250 0.772
```

Output
- magnetic moment (μB/f.u.) = 2.00
- formation energy from raw total energies (eV/atom) = -0.16
- calculated total energy (eV/cell) = -38.4



(4)
Density functional theory data (PBE) for a geometry-optimized ErVOs structure.

Structure (CIF):
```
data_ErVOs
_chemical_formula_sum 'Er2 V2 Os2'
_space_group_name_H-M_alt 'I 4 m m'
_space_group_IT_number 107
_space_group_name_Hall 'I 4 -2'
_cell_length_a 3.153
_cell_length_b 3.153
_cell_length_c 10.756
_cell_angle_alpha 90.00
_cell_angle_beta 90.00
_cell_angle_gamma 90.00
loop_
_atom_site_label
_atom_site_fract_x
_atom_site_fract_y
_atom_site_fract_z
Er1 0.000 0.000 0.000
V1 0.000 0.000 0.305
Os1 0.000 0.000 0.689
```

Output
- magnetic moment (μB/f.u.) = 0.00
- polymorph energy (0 for the lowest one) (kJ/mol of atoms) = 21.6
- calculated total energy (eV/cell) = -50.1
- energy relative to the elements (eV/atom) = -0.043



Repeat the third record exactly.
Density functional theory data (PBE) for a geometry-optimized MnCuSi structure.

Structure (CIF):
```
data_MnCuSi
_chemical_formula_sum 'Mn2 Cu2 Si2'
_space_group_name_H-M_alt 'P 4/n m m'
_space_group_IT_number 129
_cell_length_a 3.437
_cell_length_b 3.437
_cell_length_c 6.259
_cell_angle_alpha 90.00
_cell_angle_beta 90.00
_cell_angle_gamma 90.00
loop_
_space_group_symop_operation_xyz
'x,y,z'
'-x,-y,-z'
'-y+1/2,x,z'
'y+1/2,-x,-z'
'-x+1/2,-y+1/2,z'
'x+1/2,y+1/2,-z'
'y,-x+1/2,z'
'-y,x+1/2,-z'
'x+1/2,-y,-z'
'-x+1/2,y,z'
'-y,-x,-z'
'y,x,z'
'-x,y+1/2,-z'
'x,-y+1/2,z'
'y+1/2,x+1/2,-z'
'-y+1/2,-x+1/2,z'
loop_
_atom_site_label
_atom_site_fract_x
_atom_site_fract_y
_atom_site_fract_z
Mn1 0.250 0.250 0.141
Cu1 0.250 0.750 0.500
Si1 0.250 0.250 0.772
```

Output
- magnetic moment (μB/f.u.) = 2.00
- formation energy from raw total energies (eV/atom) = -0.16
- calculated total energy (eV/cell) = -38.4